Density functional theory data (PBE) for a relaxed structure of Li4InAu5.

The structure in extended XYZ format:
```
10
Lattice="-3.571 -3.241 2.141 1.175 -6.213 -0.945 1.316 -1.783 5.997" Properties=species:S:1:pos:R:3 pbc="T T T"
In -0.517 -0.469 0.310
Li -0.067 -2.152 2.668
Li -0.758 -8.855 4.372
Li 0.424 -5.067 5.576
Li -1.249 -5.940 1.465
Au -1.384 -4.452 3.489
Au 0.966 -4.297 1.141
Au -1.789 -6.708 5.898
Au -2.324 -2.110 1.394
Au 0.561 -6.553 3.550
```

Output
energy: -3.005 eV per atom
formation energy: -0.327 eV/atom
SG: I4
calculated density: 10.46 g/cm3
DOS(E_F): 2.26 states/eV per cell